Computed, not measured: a relaxed LiDy3Tl crystal at the PBE-GGA level of DFT.

Calculated values
energy relative to the lowest polymorph listed for this composition: 0.000 kcal/mol of atoms
Fermi-level density of states: 1.06 states/eV per atom
calculated formation energy: -0.138 eV/atom

Unit cell a=5.0807 b=5.0929 c=10.9224 alpha=90.00 beta=76.55 gamma=90.00
Last column: magnetic moment on the atom in μB.
Positions (direct):
1 Li 0.1709 0.2500 0.3065  0.00
2 Li 0.4774 0.7500 0.6935  0.00
3 Dy 0.8854 0.7500 0.8775  -0.01
4 Dy 0.3800 0.2500 0.8883  -0.01
5 Dy 0.2683 0.7500 0.1117  -0.01
6 Dy 0.0755 0.7500 0.4974  0.08
7 Dy 0.7629 0.2500 0.1225  -0.01
8 Dy 0.5729 0.2500 0.5026  0.08
9 Tl 0.9821 0.2500 0.6842  0.00
10 Tl 0.6663 0.7500 0.3158  0.00


Computed, not measured: a relaxed LiAg3Hg2 crystal at the PBE-GGA level of DFT.

Calculated values
energy relative to the lowest polymorph listed for this composition: 2.065 kcal/mol of atoms
Fermi-level density of states: 0.26 states/eV per atom
calculated formation energy: 0.001 eV/atom

Unit cell a=6.5044 b=6.5044 c=5.7086 alpha=89.16 beta=89.16 gamma=97.34
Positions (direct):
1 Ag 0.3065 0.3024 0.9986
2 Ag 0.6935 0.6976 0.0014
3 Ag 0.3091 0.6909 0.7500
4 Ag 0.6909 0.3091 0.2500
5 Ag 0.3024 0.3065 0.4986
6 Ag 0.6976 0.6935 0.5014
7 Hg 0.9306 0.4003 0.7552
8 Hg 0.4003 0.9306 0.2552
9 Hg 0.0694 0.5997 0.2448
10 Hg 0.5997 0.0694 0.7448
11 Li 0.0324 0.9676 0.7500
12 Li 0.9676 0.0324 0.2500


Computed, not measured: a relaxed CuPdI2O8 crystal at the PBE-GGA level of DFT.

Calculated values
Fermi-level density of states: 0.58 states/eV per atom
raw formation energy: 206 meV/atom

Unit cell a=5.9646 b=5.9646 c=5.9646 alpha=103.67 beta=103.67 gamma=121.82
Last column: magnetic moment on the atom in μB.
Positions (direct):
1 O 0.2550 0.0275 0.7724  0.34
2 O 0.9725 0.7450 0.2276  0.34
3 O 0.2550 0.4826 0.2276  0.34
4 O 0.5174 0.7450 0.7724  0.34
5 O 0.7525 0.5236 0.7711  0.20
6 O 0.7525 0.9814 0.2289  0.20
7 O 0.4764 0.2475 0.2289  0.20
8 O 0.0186 0.2475 0.7711  0.20
9 I 0.7500 0.2500 0.5000  0.00
10 I 0.5000 0.5000 0.0000  -0.04
11 Cu 0.0000 0.0000 0.0000  0.44
12 Pd 0.2500 0.7500 0.5000  0.24


Computed, not measured: a relaxed AlBSb2O crystal at the PBE-GGA level of DFT.

Calculated values
Fermi-level density of states: 0.65 states/eV per atom
raw formation energy: 724 meV/atom

Unit cell a=4.9679 b=3.8761 c=4.9679 alpha=90.00 beta=90.00 gamma=90.00
Positions (direct):
1 Sb 0.5000 0.0000 0.0000
2 Sb 0.0000 0.0000 0.5000
3 Al 0.0000 0.5000 0.0000
4 B 0.0000 0.0000 0.0000
5 O 0.5000 0.5000 0.5000


Computed, not measured: a relaxed Hg2IrRuPb crystal at the PBE-GGA level of DFT.

Calculated values
Fermi-level density of states: 0.63 states/eV per atom
calculated formation energy: 1.128 eV/atom

Unit cell a=5.2217 b=5.1241 c=5.2217 alpha=90.00 beta=90.00 gamma=90.00
Last column: magnetic moment on the atom in μB.
Positions (direct):
1 Hg 0.5000 0.0000 0.0000  0.01
2 Hg 0.0000 0.0000 0.5000  0.01
3 Ru 0.5000 0.5000 0.5000  2.46
4 Pb 0.0000 0.5000 0.0000  -0.01
5 Ir 0.0000 0.0000 0.0000  0.15


Computed, not measured: a relaxed MgScPd2O crystal at the PBE-GGA level of DFT.

Calculated values
Fermi-level density of states: 0.60 states/eV per atom
raw formation energy: -718 meV/atom

Unit cell a=4.6210 b=3.7798 c=4.6210 alpha=90.00 beta=90.00 gamma=90.00
Positions (direct):
1 Mg 0.0000 0.5000 0.0000
2 Pd 0.5000 0.0000 0.0000
3 Pd 0.0000 0.0000 0.5000
4 Sc 0.5000 0.5000 0.5000
5 O 0.0000 0.0000 0.0000


Computed, not measured: a relaxed Ti6H2CN crystal at the PBE-GGA level of DFT.

Calculated values
E_tot: -7.380 eV/atom
Fermi-level density of states: 1.03 states/eV per atom

Unit cell a=4.1093 b=5.8614 c=5.8614 alpha=90.00 beta=90.00 gamma=90.00
Positions (direct):
1 N 0.7441 0.0000 0.0000
2 Ti 0.7444 0.2495 0.2495
3 Ti 0.2442 0.0000 0.0000
4 Ti 0.2444 0.5000 0.5000
5 Ti 0.7444 0.7505 0.7505
6 Ti 0.7444 0.7505 0.2495
7 Ti 0.7444 0.2495 0.7505
8 H 0.7461 0.0000 0.5000
9 H 0.7461 0.5000 0.0000
10 C 0.7444 0.5000 0.5000


Computed, not measured: a relaxed AcDyCoIr crystal at the PBE-GGA level of DFT.

Calculated values
Fermi-level density of states: 0.43 states/eV per atom
calculated formation energy: -0.249 eV/atom

Unit cell a=5.0169 b=5.0169 c=5.0169 alpha=60.00 beta=60.00 gamma=60.00
Last column: magnetic moment on the atom in μB.
Positions (direct):
1 Ir 0.2500 0.2500 0.2500  0.08
2 Co 0.7500 0.7500 0.7500  0.93
3 Dy 0.5000 0.5000 0.5000  -0.15
4 Ac 0.0000 0.0000 0.0000  -0.08


Computed, not measured: a relaxed Er2LuPt crystal at the PBE-GGA level of DFT.

Calculated values
energy relative to the lowest polymorph listed for this composition: 7.082 kcal/mol of atoms
Fermi-level density of states: 1.42 states/eV per atom
calculated formation energy: -0.291 eV/atom

Unit cell a=3.6608 b=3.6608 c=10.5916 alpha=80.05 beta=80.05 gamma=60.00
Positions (direct):
1 Er 0.8910 0.8910 0.3270
2 Er 0.1090 0.1090 0.6730
3 Pt 0.5000 0.5000 0.5000
4 Lu 0.0000 0.0000 0.0000


Computed, not measured: a relaxed Er3Pt4 crystal at the PBE-GGA level of DFT.

Calculated values
Fermi-level density of states: 0.27 states/eV per atom
calculated formation energy: -1.275 eV/atom

Unit cell a=7.8037 b=7.8037 c=7.8037 alpha=114.26 beta=114.26 gamma=114.26
Positions (direct):
1 Pt 0.5509 0.2286 0.0631
2 Pt 0.0000 0.0000 0.0000
3 Pt 0.0631 0.5509 0.2286
4 Pt 0.4491 0.7714 0.9369
5 Pt 0.7714 0.9369 0.4491
6 Pt 0.9369 0.4491 0.7714
7 Pt 0.5000 0.5000 0.5000
8 Pt 0.2286 0.0631 0.5509
9 Er 0.2775 0.4048 0.0252
10 Er 0.0252 0.2775 0.4048
11 Er 0.7225 0.5952 0.9748
12 Er 0.4048 0.0252 0.2775
13 Er 0.5952 0.9748 0.7225
14 Er 0.9748 0.7225 0.5952


Computed, not measured: a relaxed SmPuAsP crystal at the PBE-GGA level of DFT.

Calculated values
Fermi-level density of states: 2.73 states/eV per atom
calculated formation energy: -1.290 eV/atom

Unit cell a=4.1116 b=4.1115 c=5.8199 alpha=90.00 beta=90.00 gamma=90.00
Last column: magnetic moment on the atom in μB.
Positions (direct):
1 Sm 0.0000 0.8917 0.5923  0.02
2 As 0.5000 0.3916 0.5926  -0.08
3 P 0.0000 0.8914 0.0923  -0.13
4 Pu 0.5000 0.3914 0.0925  4.97


Computed, not measured: a relaxed TlGe2Au6 crystal at the PBE-GGA level of DFT.

Calculated values
energy relative to the lowest polymorph listed for this composition: 3.232 kcal/mol of atoms
Fermi-level density of states: 0.45 states/eV per atom
calculated formation energy: 0.173 eV/atom

Unit cell a=8.3892 b=8.3892 c=8.3892 alpha=60.00 beta=60.00 gamma=60.00
Positions (direct):
1 Ge 0.1250 0.6250 0.1250
2 Ge 0.1250 0.1250 0.6250
3 Ge 0.6250 0.1250 0.1250
4 Ge 0.1250 0.1250 0.1250
5 Au 0.7478 0.2522 0.2522
6 Au 0.2522 0.2522 0.7478
7 Au 0.9978 0.5022 0.5022
8 Au 0.2522 0.7478 0.2522
9 Au 0.5022 0.9978 0.5022
10 Au 0.7478 0.7478 0.2522
11 Au 0.9978 0.5022 0.9978
12 Au 0.7478 0.2522 0.7478
13 Au 0.2522 0.7478 0.7478
14 Au 0.5022 0.9978 0.9978
15 Au 0.5022 0.5022 0.9978
16 Au 0.9978 0.9978 0.5022
17 Tl 0.7500 0.7500 0.7500
18 Tl 0.5000 0.5000 0.5000